(1)
First-principles (PBE) data for a relaxed structure of Ta5Cr3, as listed in Alexandria.

Cell lengths 6.3219, 6.3219, 6.3445 Å; angles 90.00, 90.00, 89.92 degrees
Positions (direct):
Ta  0.5146  0.5146  0.5000
Ta  0.5093  0.9851  0.0000
Ta  0.9851  0.5093  0.0000
Ta  0.2502  0.2502  0.7422
Ta  0.2483  0.7499  0.2593
Ta  0.9911  0.9911  0.0000
Ta  0.7499  0.2483  0.7407
Ta  0.2502  0.2502  0.2578
Ta  0.7499  0.2483  0.2593
Ta  0.2483  0.7499  0.7407
Cr  0.7526  0.7526  0.2625
Cr  0.9950  0.5101  0.5000
Cr  0.7526  0.7526  0.7375
Cr  0.5013  0.5013  0.0000
Cr  0.5101  0.9950  0.5000
Cr  0.9914  0.9914  0.5000

- Total magnetic moment: 0.0 μB per formula unit
- Formation energy from the elements: 9 kJ per mole of atoms
- E: -10.92 eV per atom


(2)
First-principles (PBE) data for a relaxed structure of Ac2BiSe, as listed in Alexandria.

Cell lengths 5.7026, 5.7026, 5.7026 Å; angles 60.00, 60.00, 60.00 degrees
Positions (direct):
Ac  0.2500  0.2500  0.2500
Ac  0.7500  0.7500  0.7500
Bi  0.0000  0.0000  0.0000
Se  0.5000  0.5000  0.5000

- Total magnetic moment: 0.3 μB per formula unit
- E: -5.09 eV per atom
- Formation energy from raw total energies: -1.194 eV per atom


(3)
First-principles (PBE) data for a relaxed structure of ZnTe4Se2, as listed in Alexandria.

Cell lengths 5.4720, 5.4720, 9.1407 Å; angles 72.58, 72.58, 90.00 degrees
Positions (direct):
Se  0.5963  0.5963  0.8074
Se  0.4037  0.4037  0.1926
Te  0.7451  0.7451  0.5099
Te  0.2549  0.2549  0.4901
Te  0.0000  0.5000  0.0000
Te  0.5000  0.0000  0.0000
Zn  0.0000  0.0000  0.0000

- Total magnetic moment: 0.0 μB per formula unit
- E: -2.72 eV per atom
- Formation energy from raw total energies: 0.258 eV per atom


(4)
First-principles (PBE) data for a relaxed structure of BeGaCuIr, as listed in Alexandria.

Cell lengths 4.1341, 4.1341, 4.1341 Å; angles 60.00, 60.00, 60.00 degrees
Positions (direct):
Be  0.0000  0.0000  0.0000
Ir  0.7500  0.7500  0.7500
Ga  0.2500  0.2500  0.2500
Cu  0.5000  0.5000  0.5000

- Total magnetic moment: 0.0 μB per formula unit
- Formation energy from the elements: -6 kJ per mole of atoms
- E: -4.99 eV per atom


(5)
First-principles (PBE) data for a relaxed structure of ZnOs3, as listed in Alexandria.

Cell lengths 4.6763, 5.2315, 2.7577 Å; angles 74.72, 90.00, 116.55 degrees
Positions (direct):
Os  0.0122  0.0332  0.9834
Os  0.0780  0.5000  0.2500
Os  0.4789  0.9668  0.5166
Zn  0.5976  0.5000  0.7500

- Total magnetic moment: 0.0 μB per formula unit
- Formation energy from the elements: 24 kJ per mole of atoms
- E: -8.49 eV per atom


(6)
First-principles (PBE) data for a relaxed structure of Ce2Th4Sc5, as listed in Alexandria.

Cell lengths 5.4736, 6.1990, 9.4809 Å; angles 87.35, 106.78, 90.00 degrees
Positions (direct):
Ce  0.5740  0.4582  0.1481
Ce  0.4260  0.5418  0.8519
Sc  0.7620  0.3718  0.5240
Sc  0.8596  0.7901  0.7193
Sc  0.1404  0.2099  0.2807
Sc  0.5000  0.0000  0.0000
Sc  0.2380  0.6282  0.4760
Th  0.6834  0.9089  0.3668
Th  0.9511  0.2629  0.9022
Th  0.3166  0.0911  0.6332
Th  0.0489  0.7371  0.0978

- Total magnetic moment: 0.0 μB per formula unit
- Formation energy from the elements: 8 kJ per mole of atoms
- E: -6.57 eV per atom